Zr3HPb: relaxed, PBE-GGA.

```
Zr3HPb
1.0
5.2027 0.0000 0.0000
0.0000 5.2420 3.4503
0.0000 -5.2420 3.4503
Zr H Pb
6 2 2
Direct
0.2500 0.1011 0.8989 Zr
0.2500 0.1440 0.4143 Zr
0.2500 0.6465 0.4430 Zr
0.7500 0.4143 0.1440 Zr
0.7500 0.4430 0.6465 Zr
0.7500 0.8989 0.1011 Zr
0.0000 0.1667 0.1667 H
0.5000 0.1667 0.1667 H
0.2500 0.6026 0.9381 Pb
0.7500 0.9381 0.6026 Pb
```

## Properties
Distance to the lowest polymorph of the same formula in kcal/mol of atoms: 0.06
SG: Ama2, No. 40

=====

Zr3H2Pb: relaxed, PBE-GGA.

```
Zr3H2Pb
1.0
-2.2019 2.2019 4.9390
2.2019 -2.2019 4.9390
2.2019 2.2019 -4.9390
Zr H Pb
3 2 1
Direct
0.0000 0.0000 0.0000 Zr
0.2500 0.7500 0.5000 Zr
0.7500 0.2500 0.5000 Zr
0.2076 0.2076 0.0000 H
0.7924 0.7924 0.0000 H
0.5000 0.5000 0.0000 Pb
```

## Properties
E in eV/cell: -37.8
SG: I4/mmm, No. 139